## CsZnBr2 (GGA-PBE)

Data for crystalline CsZnBr2 at its relaxed geometry.

a b c (Å): 7.0223 7.0223 15.0483
angles (deg): 90.00 90.00 90.00
With the nearest neighbours (Å) after each atom.
Fractional coordinates of all 16 atoms:
Cs1 0.0000 0.0000 0.0000  4 Br 3.64
Cs2 0.0000 0.5000 0.2500  4 Br 3.64
Cs3 0.5000 0.0000 0.7500  4 Br 3.64
Cs4 0.5000 0.5000 0.5000  4 Br 3.64
Zn1 0.0000 0.0000 0.5000  4 Br 2.74
Zn2 0.0000 0.5000 0.7500  4 Br 2.74
Zn3 0.5000 0.0000 0.2500  4 Br 2.74
Zn4 0.5000 0.5000 0.0000  4 Br 2.74
Br1 0.1340 0.2500 0.6250  2 Zn 2.74
Br2 0.2500 0.6340 0.8750  2 Zn 2.74
Br3 0.2500 0.8660 0.3750  2 Zn 2.74
Br4 0.3660 0.2500 0.1250  2 Zn 2.74
Br5 0.6340 0.7500 0.1250  2 Zn 2.74
Br6 0.7500 0.1340 0.3750  2 Zn 2.74
Br7 0.7500 0.3660 0.8750  2 Zn 2.74
Br8 0.8660 0.7500 0.6250  2 Zn 2.74

Calculated values
- VASP energy (eV per atom) = -2.308
- uncorrected formation energy (kJ per mole of atoms) = -90.7

## Cs4ZnBr2 (GGA-PBE)

Data for crystalline Cs4ZnBr2 at its relaxed geometry.

a b c (Å): 6.9017 6.9017 18.9992
angles (deg): 90.00 90.00 90.00
With the nearest neighbours (Å) after each atom.
Fractional coordinates of all 14 atoms:
Cs1 0.0000 0.0000 0.2092  1 Br 3.44
Cs2 0.0000 0.0000 0.7908  1 Br 3.44
Cs3 0.0000 0.5000 0.0000  2 Zn 3.45
Cs4 0.0000 0.5000 0.5000  2 Zn 3.45
Cs5 0.5000 0.0000 0.0000  2 Zn 3.45
Cs6 0.5000 0.0000 0.5000  2 Zn 3.45
Cs7 0.5000 0.5000 0.2908  1 Br 3.44
Cs8 0.5000 0.5000 0.7092  1 Br 3.44
Zn1 0.0000 0.0000 0.0000  4 Cs 3.45
Zn2 0.5000 0.5000 0.5000  4 Cs 3.45
Br1 0.0000 0.0000 0.3903  1 Cs 3.44
Br2 0.0000 0.0000 0.6097  1 Cs 3.44
Br3 0.5000 0.5000 0.1097  1 Cs 3.44
Br4 0.5000 0.5000 0.8903  1 Cs 3.44

Calculated values
- VASP energy (eV per atom) = -1.892
- uncorrected formation energy (kJ per mole of atoms) = -71.8

## CsZn2Br (GGA-PBE)

Data for crystalline CsZn2Br at its relaxed geometry.

a b c (Å): 8.5210 8.5210 8.5210
angles (deg): 90.00 90.00 90.00
With the nearest neighbours (Å) after each atom.
Fractional coordinates of all 16 atoms:
Cs1 0.0000 0.0000 0.0000  8 Zn 3.69
Cs2 0.0000 0.5000 0.5000  8 Zn 3.69
Cs3 0.5000 0.0000 0.5000  8 Zn 3.69
Cs4 0.5000 0.5000 0.0000  8 Zn 3.69
Zn1 0.2500 0.2500 0.2500  4 Br 3.69, 4 Cs 3.69
Zn2 0.2500 0.2500 0.7500  4 Br 3.69, 4 Cs 3.69
Zn3 0.2500 0.7500 0.2500  4 Br 3.69, 4 Cs 3.69
Zn4 0.2500 0.7500 0.7500  4 Br 3.69, 4 Cs 3.69
Zn5 0.7500 0.2500 0.2500  4 Br 3.69, 4 Cs 3.69
Zn6 0.7500 0.2500 0.7500  4 Br 3.69, 4 Cs 3.69
Zn7 0.7500 0.7500 0.2500  4 Br 3.69, 4 Cs 3.69
Zn8 0.7500 0.7500 0.7500  4 Cs 3.69, 4 Br 3.69
Br1 0.0000 0.0000 0.5000  8 Zn 3.69
Br2 0.0000 0.5000 0.0000  8 Zn 3.69
Br3 0.5000 0.0000 0.0000  8 Zn 3.69
Br4 0.5000 0.5000 0.5000  8 Zn 3.69

Calculated values
- VASP energy (eV per atom) = -1.515
- uncorrected formation energy (kJ per mole of atoms) = -23.7

## Cs5ZnBr8 (GGA-PBE)

Data for crystalline Cs5ZnBr8 at its relaxed geometry.

a b c (Å): 9.7006 9.7006 9.7006
angles (deg): 115.34 115.34 98.28
With the nearest neighbours (Å) after each atom.
Fractional coordinates of all 14 atoms:
Cs1 0.0000 0.0000 0.0000  4 Br 3.55
Cs2 0.2420 0.6534 0.1296  6 Br 3.59-3.83
Cs3 0.3466 0.4762 0.5887  6 Br 3.59-3.83
Cs4 0.5238 0.1124 0.8704  6 Br 3.59-3.83
Cs5 0.8876 0.7580 0.4113  6 Br 3.59-3.83
Zn1 0.7500 0.2500 0.5000  4 Br 2.46
Br1 0.0423 0.2859 0.6592  1 Zn 2.46
Br2 0.2032 0.0125 0.4113  5 Cs 3.55-3.83, 1 Br 3.77
Br3 0.2081 0.7968 0.8092  5 Cs 3.55-3.83, 1 Br 3.77
Br4 0.6012 0.7919 0.5887  5 Cs 3.55-3.83, 1 Br 3.77
Br5 0.6169 0.9577 0.2436  1 Zn 2.46
Br6 0.6267 0.3831 0.3408  1 Zn 2.46
Br7 0.7141 0.3733 0.7564  1 Zn 2.46
Br8 0.9875 0.3988 0.1908  5 Cs 3.55-3.83, 1 Br 3.77

Calculated values
- VASP energy (eV per atom) = -2.731
- uncorrected formation energy (kJ per mole of atoms) = -133.0

## Cs2ZnBr (GGA-PBE)

Data for crystalline Cs2ZnBr at its relaxed geometry.

a b c (Å): 9.0921 9.0921 9.0921
angles (deg): 90.00 90.00 90.00
With the nearest neighbours (Å) after each atom.
Fractional coordinates of all 16 atoms:
Cs1 0.2500 0.2500 0.2500  4 Br 3.94, 4 Zn 3.94
Cs2 0.2500 0.2500 0.7500  4 Br 3.94, 4 Zn 3.94
Cs3 0.2500 0.7500 0.2500  4 Br 3.94, 4 Zn 3.94
Cs4 0.2500 0.7500 0.7500  4 Br 3.94, 4 Zn 3.94
Cs5 0.7500 0.2500 0.2500  4 Br 3.94, 4 Zn 3.94
Cs6 0.7500 0.2500 0.7500  4 Br 3.94, 4 Zn 3.94
Cs7 0.7500 0.7500 0.2500  4 Br 3.94, 4 Zn 3.94
Cs8 0.7500 0.7500 0.7500  4 Br 3.94, 4 Zn 3.94
Zn1 0.0000 0.0000 0.0000  8 Cs 3.94
Zn2 0.0000 0.5000 0.5000  8 Cs 3.94
Zn3 0.5000 0.0000 0.5000  8 Cs 3.94
Zn4 0.5000 0.5000 0.0000  8 Cs 3.94
Br1 0.0000 0.0000 0.5000  8 Cs 3.94
Br2 0.0000 0.5000 0.0000  8 Cs 3.94
Br3 0.5000 0.0000 0.0000  8 Cs 3.94
Br4 0.5000 0.5000 0.5000  8 Cs 3.94

Calculated values
- VASP energy (eV per atom) = -1.771
- uncorrected formation energy (kJ per mole of atoms) = -58.6

## CsZnBr2 (GGA-PBE)

Data for crystalline CsZnBr2 at its relaxed geometry.

a b c (Å): 4.4657 4.4657 28.7000
angles (deg): 90.00 90.00 120.00
With the nearest neighbours (Å) after each atom.
Fractional coordinates of all 12 atoms:
Cs1 0.0000 0.0000 0.0000  2 Br 3.41
Cs2 0.3333 0.6667 0.6667  2 Br 3.41
Cs3 0.6667 0.3333 0.3333  2 Br 3.41
Zn1 0.0000 0.0000 0.5000  6 Br 2.92
Zn2 0.3333 0.6667 0.1667  6 Br 2.92
Zn3 0.6667 0.3333 0.8333  6 Br 2.92
Br1 0.0000 0.0000 0.1188  3 Zn 2.92
Br2 0.0000 0.0000 0.8812  3 Zn 2.92
Br3 0.3333 0.6667 0.5478  3 Zn 2.92
Br4 0.3333 0.6667 0.7855  3 Zn 2.92
Br5 0.6667 0.3333 0.2145  3 Zn 2.92
Br6 0.6667 0.3333 0.4522  3 Zn 2.92

Calculated values
- VASP energy (eV per atom) = -1.946
- uncorrected formation energy (kJ per mole of atoms) = -55.8

## Cs3ZnBr (GGA-PBE)

Data for crystalline Cs3ZnBr at its relaxed geometry.

a b c (Å): 7.0999 7.0999 7.0999
angles (deg): 90.00 90.00 90.00
With the nearest neighbours (Å) after each atom.
Fractional coordinates of all 5 atoms:
Cs1 0.0000 0.0000 0.5000  2 Br 3.55
Cs2 0.0000 0.5000 0.0000  2 Br 3.55
Cs3 0.5000 0.0000 0.0000  2 Br 3.55
Zn1 0.5000 0.5000 0.5000  12 Cs 5.02
Br1 0.0000 0.0000 0.0000  6 Cs 3.55

Calculated values
- VASP energy (eV per atom) = -1.611
- uncorrected formation energy (kJ per mole of atoms) = -49.1

## Cs3ZnBr6 (GGA-PBE)

Data for crystalline Cs3ZnBr6 at its relaxed geometry.

a b c (Å): 8.5150 8.5150 8.5150
angles (deg): 60.00 60.00 60.00
With the nearest neighbours (Å) after each atom.
Fractional coordinates of all 10 atoms:
Cs1 0.0000 0.0000 0.0000  6 Br 3.41
Cs2 0.2500 0.2500 0.2500  12 Br 4.28
Cs3 0.7500 0.7500 0.7500  12 Br 4.28
Zn1 0.5000 0.5000 0.5000  6 Br 2.61
Br1 0.2829 0.2829 0.7171  1 Zn 2.61
Br2 0.2829 0.7171 0.2829  1 Zn 2.61
Br3 0.2829 0.7171 0.7171  1 Zn 2.61
Br4 0.7171 0.2829 0.2829  1 Zn 2.61
Br5 0.7171 0.2829 0.7171  1 Zn 2.61
Br6 0.7171 0.7171 0.2829  1 Zn 2.61

Calculated values
- VASP energy (eV per atom) = -2.593
- uncorrected formation energy (kJ per mole of atoms) = -116.3

## CsZnBr2 (GGA-PBE)

Data for crystalline CsZnBr2 at its relaxed geometry.

a b c (Å): 8.1959 8.1959 8.1959
angles (deg): 90.00 90.00 90.00
With the nearest neighbours (Å) after each atom.
Fractional coordinates of all 16 atoms:
Cs1 0.0000 0.0000 0.0000  8 Br 3.55
Cs2 0.0000 0.5000 0.5000  8 Br 3.55
Cs3 0.5000 0.0000 0.5000  8 Br 3.55
Cs4 0.5000 0.5000 0.0000  8 Br 3.55
Zn1 0.0000 0.0000 0.5000  8 Br 3.55
Zn2 0.0000 0.5000 0.0000  8 Br 3.55
Zn3 0.5000 0.0000 0.0000  8 Br 3.55
Zn4 0.5000 0.5000 0.5000  8 Br 3.55
Br1 0.2500 0.2500 0.2500  4 Zn 3.55, 4 Cs 3.55
Br2 0.2500 0.2500 0.7500  4 Zn 3.55, 4 Cs 3.55
Br3 0.2500 0.7500 0.2500  4 Zn 3.55, 4 Cs 3.55
Br4 0.2500 0.7500 0.7500  4 Zn 3.55, 4 Cs 3.55
Br5 0.7500 0.2500 0.2500  4 Zn 3.55, 4 Cs 3.55
Br6 0.7500 0.2500 0.7500  4 Zn 3.55, 4 Cs 3.55
Br7 0.7500 0.7500 0.2500  4 Zn 3.55, 4 Cs 3.55
Br8 0.7500 0.7500 0.7500  4 Zn 3.55, 4 Cs 3.55

Calculated values
- VASP energy (eV per atom) = -2.063
- uncorrected formation energy (kJ per mole of atoms) = -67.1

## CsZn2Br2 (GGA-PBE)

Data for crystalline CsZn2Br2 at its relaxed geometry.

a b c (Å): 3.9692 3.9692 19.3018
angles (deg): 90.00 90.00 90.00
With the nearest neighbours (Å) after each atom.
Fractional coordinates of all 10 atoms:
Cs1 0.0000 0.0000 0.0000  8 Br 3.61, 4 Cs 3.97
Cs2 0.5000 0.5000 0.5000  8 Br 3.61, 4 Cs 3.97
Zn1 0.0000 0.5000 0.2500  4 Zn 2.81
Zn2 0.0000 0.5000 0.7500  4 Zn 2.81
Zn3 0.5000 0.0000 0.2500  4 Zn 2.81
Zn4 0.5000 0.0000 0.7500  4 Zn 2.81
Br1 0.0000 0.0000 0.3821  4 Zn 3.23, 4 Cs 3.61
Br2 0.0000 0.0000 0.6179  4 Zn 3.23, 4 Cs 3.61
Br3 0.5000 0.5000 0.1179  4 Zn 3.23, 4 Cs 3.61
Br4 0.5000 0.5000 0.8821  4 Zn 3.23, 4 Cs 3.61

Calculated values
- VASP energy (eV per atom) = -1.966
- uncorrected formation energy (kJ per mole of atoms) = -59.5